Record 1
The following is a DFT calculation (PBE) of crystalline Ce2ICl at its relaxed geometry.

It has space group R3m (No. 160, hexagonal axes), with a = 3.7304 Å, b = 3.7304 Å, c = 27.5627 Å, α = 90.00°, β = 90.00° and γ = 120.00°. The distinct sites, in fractional coordinates, are Ce at (0.0000, 0.0000, 0.0000), Ce at (0.0000, 0.0000, 0.1529), I at (0.0000, 0.0000, 0.5753) and Cl at (0.0000, 0.0000, 0.7439).

The magnetic moment comes out at 7.42 μB/cell. The value obtained for the energy above the most stable polymorph in this dataset is 0.051 eV per atom. The calculation puts the calculated volume at 332.2 Å³ per cell. As for the uncorrected formation energy: -999.3 meV/atom.

Record 2
The following is a DFT calculation (PBE) of crystalline TiNb2Cd at its relaxed geometry.

It has space group P4/mmm (No. 123), with a = 4.018 Å, b = 4.018 Å, c = 4.541 Å, α = 90.00°, β = 90.00° and γ = 90.00°. The distinct sites, in fractional coordinates, are Ti at (0.000, 0.000, 0.000), Nb at (0.000, 0.500, 0.500) and Cd at (0.500, 0.500, 0.000).

The magnetic moment comes out at 0.00 μB/cell. Its total DFT energy (no corrections) is -28.6 eV for the cell shown. The calculation puts the calculated volume at 73.3 Å³ per cell.

Record 3
The following is a DFT calculation (PBE) of crystalline PrEr2Tm6 at its relaxed geometry.

It has space group C2/m (No. 12), with a = 12.099 Å, b = 3.522 Å, c = 14.193 Å, α = 90.00°, β = 108.88° and γ = 90.00°. The distinct sites, in fractional coordinates, are Pr at (0.000, 0.000, 0.000), Er at (0.159, 0.500, 0.253), Tm at (0.079, 0.500, 0.667), Tm at (0.135, 0.000, 0.488) and Tm at (0.193, 0.500, 0.898).

The magnetic moment comes out at 0.00 μB/cell. The value obtained for the energy above the most stable polymorph in this dataset is 0.000 eV per atom. The calculation puts the calculated volume at 572.3 Å³ per cell.

Record 4
The following is a DFT calculation (PBE) of crystalline Li2Ca2AlPd5 at its relaxed geometry.

It has space group P4/mbm (No. 127), with a = 9.752 Å, b = 9.752 Å, c = 3.535 Å, α = 90.00°, β = 90.00° and γ = 90.00°. The distinct sites, in fractional coordinates, are Li at (0.123, 0.377, 0.000), Ca at (0.178, 0.678, 0.000), Al at (0.000, 0.000, 0.000), Pd at (0.000, 0.500, 0.500) and Pd at (0.058, 0.199, 0.500).

The magnetic moment comes out at 0.00 μB/cell. Its total DFT energy (no corrections) is -87.6 eV for the cell shown. The calculation puts the calculated volume at 336.2 Å³ per cell.